Record 1
Computed, not measured: a relaxed structure of Dy3Ho3Er at the PBE level of DFT.

Summary:
Space group: No. 148
Relative energy among the computed polymorphs, meV/atom: 136
Magnetic moment, μB/cell: 0.0

```
data_Dy3Ho3Er
_cell_length_a 14.473
_cell_length_b 14.473
_cell_length_c 14.473
_cell_angle_alpha 24.41
_cell_angle_beta 24.41
_cell_angle_gamma 24.41
_symmetry_space_group_name_H-M 'P 1'
_symmetry_Int_Tables_number 1
loop_
_symmetry_equiv_pos_as_xyz
'x,y,z'
loop_
_atom_site_label
_atom_site_type_symbol
_atom_site_fract_x
_atom_site_fract_y
_atom_site_fract_z
_atom_site_occupancy
Dy1 Dy 0.133 0.464 0.801 1
Dy2 Dy 0.199 0.867 0.536 1
Dy3 Dy 0.464 0.801 0.133 1
Dy4 Dy 0.536 0.199 0.867 1
Dy5 Dy 0.801 0.133 0.464 1
Dy6 Dy 0.867 0.536 0.199 1
Ho1 Ho 0.066 0.732 0.400 1
Ho2 Ho 0.268 0.600 0.934 1
Ho3 Ho 0.400 0.066 0.732 1
Ho4 Ho 0.600 0.934 0.268 1
Ho5 Ho 0.732 0.400 0.066 1
Ho6 Ho 0.934 0.268 0.600 1
Er1 Er 0.333 0.333 0.333 1
Er2 Er 0.667 0.667 0.667 1
```

Record 2
Computed, not measured: a relaxed structure of DyHoEr2 at the PBE level of DFT.

Summary:
Space group: No. 123
Relative energy among the computed polymorphs, meV/atom: 22
Magnetic moment, μB/cell: 0.0

```
data_DyHoEr2
_cell_length_a 4.968
_cell_length_b 4.968
_cell_length_c 4.965
_cell_angle_alpha 90.00
_cell_angle_beta 90.00
_cell_angle_gamma 90.00
_symmetry_space_group_name_H-M 'P 1'
_symmetry_Int_Tables_number 1
loop_
_symmetry_equiv_pos_as_xyz
'x,y,z'
loop_
_atom_site_label
_atom_site_type_symbol
_atom_site_fract_x
_atom_site_fract_y
_atom_site_fract_z
_atom_site_occupancy
Dy1 Dy 0.000 0.000 0.000 1
Ho1 Ho 0.500 0.500 0.000 1
Er1 Er 0.000 0.500 0.500 1
Er2 Er 0.500 0.000 0.500 1
```

Record 3
Computed, not measured: a relaxed structure of Dy4HoEr15 at the PBE level of DFT.

Summary:
Space group: No. 123
Magnetic moment, μB/cell: 0.0

```
data_Dy4HoEr15
_cell_length_a 4.959
_cell_length_b 4.959
_cell_length_c 24.781
_cell_angle_alpha 90.00
_cell_angle_beta 90.00
_cell_angle_gamma 90.00
_symmetry_space_group_name_H-M 'P 1'
_symmetry_Int_Tables_number 1
loop_
_symmetry_equiv_pos_as_xyz
'x,y,z'
loop_
_atom_site_label
_atom_site_type_symbol
_atom_site_fract_x
_atom_site_fract_y
_atom_site_fract_z
_atom_site_occupancy
Dy1 Dy 0.000 0.000 0.100 1
Dy2 Dy 0.000 0.000 0.300 1
Dy3 Dy 0.000 0.000 0.700 1
Dy4 Dy 0.000 0.000 0.900 1
Ho1 Ho 0.000 0.000 0.500 1
Er1 Er 0.000 0.500 0.000 1
Er2 Er 0.000 0.500 0.200 1
Er3 Er 0.000 0.500 0.400 1
Er4 Er 0.000 0.500 0.600 1
Er5 Er 0.000 0.500 0.800 1
Er6 Er 0.500 0.000 0.000 1
Er7 Er 0.500 0.000 0.200 1
Er8 Er 0.500 0.000 0.400 1
Er9 Er 0.500 0.000 0.600 1
Er10 Er 0.500 0.000 0.800 1
Er11 Er 0.500 0.500 0.100 1
Er12 Er 0.500 0.500 0.300 1
Er13 Er 0.500 0.500 0.500 1
Er14 Er 0.500 0.500 0.700 1
Er15 Er 0.500 0.500 0.900 1
```

| no. | formation energy (eV/atom) |
| --- | --- |
| 1 | 0.143 |
| 2 | 0.023 |
| 3 | 0.022 |